K2BiH6: relaxed, PBE.

Results
Total moment   0.000 μB/atom
Crystal system   cubic
VASP energy   -2.68 eV per atom
Volume   605.8 Å³ per cell

a b c (Å): 8.4616 8.4616 8.4616
angles (deg): 90.00 90.00 90.00
Closest atoms and distances in Å follow each position.
Space group Fm-3m (No. 225)
Inequivalent atoms, fractional coordinates:
K 0.2500 0.2500 0.2500 [8 per cell]  12 H 2.99
Bi 0.0000 0.0000 0.0000 [4 per cell]  6 H 2.05
H 0.0000 0.0000 0.2423 [24 per cell]  1 Bi 2.05